(1)
The following is a DFT calculation (PBE) of a relaxed structure of NiPtW2.

The offset from the most stable computed form comes out at 0.0361 eV per atom. As for the energy of formation: -0.24 eV/f.u. For the final energy, the calculation gives -38.0 eV per formula unit.

The space group is P4/mmm (No. 123) and the conventional cell measures 3.8042, 3.8042 and 4.0472 Å, with angles of 90.00, 90.00 and 90.00 degrees. The asymmetric unit holds Ni at (0.0000, 0.0000, 0.0000), Pt at (0.5000, 0.5000, 0.0000) and W at (0.0000, 0.5000, 0.5000).

=====

(2)
The following is a DFT calculation (PBE) of a relaxed structure of Ni4Pt2W.

The offset from the most stable computed form comes out at 0.0000 eV per atom. As for the energy of formation: 0.92 eV/f.u. For the final energy, the calculation gives -47.2 eV per formula unit.

The space group is P4_2/mnm (No. 136) and the conventional cell measures 6.6615, 6.6615 and 4.3298 Å, with angles of 90.00, 90.00 and 90.00 degrees. The asymmetric unit holds Ni at (0.0936, 0.3566, 0.0000), Pt at (0.1762, 0.1762, 0.5000) and W at (0.0000, 0.0000, 0.0000).

=====

(3)
The following is a DFT calculation (PBE) of a relaxed structure of NiPt7W2.

As for the energy of formation: 3.27 eV/f.u. For the final energy, the calculation gives -70.7 eV per formula unit.

The space group is Cmmm (No. 65) and the conventional cell measures 7.2143, 13.0933 and 4.0937 Å, with angles of 90.00, 90.00 and 90.00 degrees. The asymmetric unit holds Ni at (0.0000, 0.0000, 0.0000), Pt at (0.0000, 0.1954, 0.0000), Pt at (0.0000, 0.5000, 0.5000), Pt at (0.1899, 0.1055, 0.5000) and W at (0.0000, 0.3009, 0.5000).

=====

(4)
The following is a DFT calculation (PBE) of a relaxed structure of NiPt8W2.

As for the energy of formation: -2.29 eV/f.u. For the final energy, the calculation gives -82.3 eV per formula unit.

The space group is C2/m (No. 12) and the conventional cell measures 14.1931, 3.9376 and 6.2492 Å, with angles of 90.00, 104.99 and 90.00 degrees. The asymmetric unit holds Ni at (0.0000, 0.0000, 0.0000), Pt at (0.0468, 0.5000, 0.7334), Pt at (0.0956, 0.0000, 0.4538), Pt at (0.1403, 0.5000, 0.1926), Pt at (0.1808, 0.0000, 0.9154) and W at (0.2257, 0.5000, 0.6417).

=====

(5)
The following is a DFT calculation (PBE) of a relaxed structure of Ni2PtW.

The offset from the most stable computed form comes out at 0.1321 eV per atom. As for the energy of formation: -0.27 eV/f.u. For the final energy, the calculation gives -30.8 eV per formula unit.

The space group is P4mm (No. 99) and the conventional cell measures 2.7521, 2.7521 and 7.0752 Å, with angles of 90.00, 90.00 and 90.00 degrees. The asymmetric unit holds Ni at (0.0000, 0.0000, 0.0000), Ni at (0.5000, 0.5000, 0.2200), Pt at (0.0000, 0.0000, 0.4784) and W at (0.5000, 0.5000, 0.7619).

=====

(6)
The following is a DFT calculation (PBE) of a relaxed structure of Ni2PtW.

The offset from the most stable computed form comes out at 0.6283 eV per atom. As for the energy of formation: 1.72 eV/f.u. For the final energy, the calculation gives -28.8 eV per formula unit.

The space group is I-42d (No. 122) and the conventional cell measures 6.6953, 6.6953 and 5.1948 Å, with angles of 90.00, 90.00 and 90.00 degrees. The asymmetric unit holds Ni at (0.2377, 0.2500, 0.1250), Pt at (0.0000, 0.0000, 0.5000) and W at (0.0000, 0.0000, 0.0000).

=====

(7)
The following is a DFT calculation (PBE) of a relaxed structure of Ni2Pt6W.

The offset from the most stable computed form comes out at 0.0648 eV per atom. As for the energy of formation: -1.20 eV/f.u. For the final energy, the calculation gives -62.0 eV per formula unit.

The space group is C2/m (No. 12) and the conventional cell measures 11.9555, 2.7731 and 8.2465 Å, with angles of 90.00, 103.56 and 90.00 degrees. The asymmetric unit holds Ni at (0.1606, 0.0000, 0.2156), Pt at (0.0050, 0.5000, 0.3247), Pt at (0.1658, 0.0000, 0.8936), Pt at (0.1703, 0.0000, 0.5606) and W at (0.0000, 0.5000, 0.0000).

=====

(8)
The following is a DFT calculation (PBE) of a relaxed structure of Ni3Pt2W.

The offset from the most stable computed form comes out at 0.4128 eV per atom. As for the energy of formation: 1.96 eV/f.u. For the final energy, the calculation gives -40.4 eV per formula unit.

The space group is Pnnm (No. 58) and the conventional cell measures 7.7224, 9.0407 and 2.6603 Å, with angles of 90.00, 90.00 and 90.00 degrees. The asymmetric unit holds Ni at (0.0000, 0.0000, 0.0000), Ni at (0.2371, 0.0871, 0.5000), Pt at (0.0835, 0.7748, 0.5000) and W at (0.0000, 0.5000, 0.5000).

=====

(9)
The following is a DFT calculation (PBE) of a relaxed structure of NiPt2W.

The offset from the most stable computed form comes out at 0.2680 eV per atom. As for the energy of formation: 0.02 eV/f.u. For the final energy, the calculation gives -30.8 eV per formula unit.

The space group is F-43m (No. 216) and the conventional cell measures 6.1747, 6.1747 and 6.1747 Å, with angles of 90.00, 90.00 and 90.00 degrees. The asymmetric unit holds Ni at (0.0000, 0.0000, 0.0000), Pt at (0.0000, 0.0000, 0.5000), Pt at (0.2500, 0.2500, 0.7500) and W at (0.2500, 0.2500, 0.2500).

=====

(10)
The following is a DFT calculation (PBE) of a relaxed structure of Ni3Pt4W.

As for the energy of formation: -1.46 eV/f.u. For the final energy, the calculation gives -55.9 eV per formula unit.

The space group is I4/mmm (No. 139) and the conventional cell measures 3.8768, 3.8768 and 14.8951 Å, with angles of 90.00, 90.00 and 90.00 degrees. The asymmetric unit holds Ni at (0.0000, 0.0000, 0.0000), Ni at (0.0000, 0.0000, 0.2472), Pt at (0.0000, 0.5000, 0.1251) and W at (0.0000, 0.0000, 0.5000).

=====

(11)
The following is a DFT calculation (PBE) of a relaxed structure of Ni2Pt5W.

The offset from the most stable computed form comes out at 0.0618 eV per atom. As for the energy of formation: -0.29 eV/f.u. For the final energy, the calculation gives -55.0 eV per formula unit.

The space group is I4/mcm (No. 140) and the conventional cell measures 6.5773, 6.5773 and 11.0175 Å, with angles of 90.00, 90.00 and 90.00 degrees. The asymmetric unit holds Ni at (0.1356, 0.3644, 0.0000), Pt at (0.0000, 0.0000, 0.0000), Pt at (0.1565, 0.3435, 0.3431) and W at (0.0000, 0.0000, 0.2500).

=====

(12)
The following is a DFT calculation (PBE) of a relaxed structure of NiPtW2.

The offset from the most stable computed form comes out at 0.0333 eV per atom. As for the energy of formation: -0.25 eV/f.u. For the final energy, the calculation gives -38.0 eV per formula unit.

The space group is I4/mmm (No. 139) and the conventional cell measures 3.7951, 3.7951 and 8.1329 Å, with angles of 90.00, 90.00 and 90.00 degrees. The asymmetric unit holds Ni at (0.0000, 0.0000, 0.0000), Pt at (0.0000, 0.0000, 0.5000) and W at (0.0000, 0.5000, 0.2500).

=====

(13)
The following is a DFT calculation (PBE) of a relaxed structure of NiPtW2.

The offset from the most stable computed form comes out at 0.0307 eV per atom. As for the energy of formation: -0.26 eV/f.u. For the final energy, the calculation gives -38.0 eV per formula unit.

The space group is P4mm (No. 99) and the conventional cell measures 2.7395, 2.7395 and 7.8602 Å, with angles of 90.00, 90.00 and 90.00 degrees. The asymmetric unit holds Ni at (0.0000, 0.0000, 0.0000), Pt at (0.5000, 0.5000, 0.2448), W at (0.0000, 0.0000, 0.4952) and W at (0.5000, 0.5000, 0.7803).

=====

(14)
The following is a DFT calculation (PBE) of a relaxed structure of NiPt2W.

The offset from the most stable computed form comes out at 0.0761 eV per atom. As for the energy of formation: -0.75 eV/f.u. For the final energy, the calculation gives -31.6 eV per formula unit.

The space group is Pm (No. 6) and the conventional cell measures 2.7713, 3.8510 and 5.4742 Å, with angles of 90.00, 90.11 and 90.00 degrees. The asymmetric unit holds Ni at (0.0000, 0.0000, 0.0000), Pt at (0.5005, 0.5000, 0.7640), Pt at (0.9991, 0.0000, 0.4795) and W at (0.4991, 0.5000, 0.2312).

=====

(15)
The following is a DFT calculation (PBE) of a relaxed structure of Ni2PtW.

The offset from the most stable computed form comes out at 0.2068 eV per atom. As for the energy of formation: 0.03 eV/f.u. For the final energy, the calculation gives -30.5 eV per formula unit.

The space group is P4/mmm (No. 123) and the conventional cell measures 3.8709, 3.8709 and 3.5573 Å, with angles of 90.00, 90.00 and 90.00 degrees. The asymmetric unit holds Ni at (0.0000, 0.5000, 0.0000), Pt at (0.0000, 0.0000, 0.5000) and W at (0.5000, 0.5000, 0.5000).

=====

(16)
The following is a DFT calculation (PBE) of a relaxed structure of NiPt2W.

The offset from the most stable computed form comes out at 0.0970 eV per atom. As for the energy of formation: -0.67 eV/f.u. For the final energy, the calculation gives -31.5 eV per formula unit.

The space group is Cmcm (No. 63) and the conventional cell measures 5.4495, 9.7251 and 4.4229 Å, with angles of 90.00, 90.00 and 90.00 degrees. The asymmetric unit holds Ni at (0.0000, 0.0786, 0.2500), Pt at (0.2480, 0.1616, 0.7500) and W at (0.0000, 0.4107, 0.7500).

=====

(17)
The following is a DFT calculation (PBE) of a relaxed structure of Ni5Pt2W.

As for the energy of formation: 0.31 eV/f.u. For the final energy, the calculation gives -53.6 eV per formula unit.

The space group is Cmcm (No. 63) and the conventional cell measures 3.9303, 9.5544 and 11.4107 Å, with angles of 90.00, 90.00 and 90.00 degrees. The asymmetric unit holds Ni at (0.0000, 0.0694, 0.2500), Ni at (0.0000, 0.0781, 0.5813), Ni at (0.0000, 0.4293, 0.5947), Pt at (0.0000, 0.2592, 0.0926) and W at (0.0000, 0.2452, 0.7500).

=====

(18)
The following is a DFT calculation (PBE) of a relaxed structure of NiPtW2.

The offset from the most stable computed form comes out at 0.2581 eV per atom. As for the energy of formation: 0.65 eV/f.u. For the final energy, the calculation gives -37.1 eV per formula unit.

The space group is P4/mmm (No. 123) and the conventional cell measures 3.3196, 3.3196 and 5.4389 Å, with angles of 90.00, 90.00 and 90.00 degrees. The asymmetric unit holds Ni at (0.0000, 0.0000, 0.0000), Pt at (0.0000, 0.0000, 0.5000) and W at (0.5000, 0.5000, 0.2256).

=====

(19)
The following is a DFT calculation (PBE) of a relaxed structure of NiPtW2.

The offset from the most stable computed form comes out at 0.4725 eV per atom. As for the energy of formation: 1.51 eV/f.u. For the final energy, the calculation gives -36.2 eV per formula unit.

The space group is Fm-3m (No. 225) and the conventional cell measures 6.2166, 6.2166 and 6.2166 Å, with angles of 90.00, 90.00 and 90.00 degrees. The asymmetric unit holds Ni at (0.0000, 0.0000, 0.0000), Pt at (0.0000, 0.0000, 0.5000) and W at (0.2500, 0.2500, 0.2500).

=====

(20)
The following is a DFT calculation (PBE) of a relaxed structure of NiPtW2.

The offset from the most stable computed form comes out at 0.1432 eV per atom. As for the energy of formation: 0.19 eV/f.u. For the final energy, the calculation gives -37.5 eV per formula unit.

The space group is I-4m2 (No. 119) and the conventional cell measures 3.9329, 3.9329 and 7.6539 Å, with angles of 90.00, 90.00 and 90.00 degrees. The asymmetric unit holds Ni at (0.0000, 0.0000, 0.0000), Pt at (0.0000, 0.5000, 0.2500), W at (0.0000, 0.0000, 0.5000) and W at (0.0000, 0.5000, 0.7500).